# 1
Density functional theory data (PBE) for a relaxed structure of Ta5Cl4.

Results
* electronic total energy: -6.94 eV/atom
* raw formation energy: 0.4660 eV/atom
* calculated density: 9.22 Mg/m³

a b c (Å): 9.304 9.304 5.028
angles (deg): 90.00 90.00 120.00
Sites, in units of the cell vectors:
1 Ta 0.000 0.431 0.250
2 Ta 0.000 0.569 0.750
3 Ta 0.333 0.667 0.000
4 Ta 0.333 0.667 0.500
5 Ta 0.431 0.000 0.250
6 Ta 0.431 0.431 0.750
7 Ta 0.569 0.000 0.750
8 Ta 0.569 0.569 0.250
9 Ta 0.667 0.333 0.000
10 Ta 0.667 0.333 0.500
11 Cl 0.000 0.000 0.000
12 Cl 0.000 0.000 0.500
13 Cl 0.000 0.302 0.750
14 Cl 0.000 0.698 0.250
15 Cl 0.302 0.000 0.750
16 Cl 0.302 0.302 0.250
17 Cl 0.698 0.000 0.250
18 Cl 0.698 0.698 0.750

***

# 2
Density functional theory data (PBE) for a relaxed structure of Ta5Cl.

Results
* electronic total energy: -9.75 eV/atom
* raw formation energy: 0.4339 eV/atom
* relative energy among the computed polymorphs: 174 meV/atom
* calculated density: 14.24 Mg/m³

a b c (Å): 5.488 5.488 4.758
angles (deg): 90.00 90.00 130.07
Sites, in units of the cell vectors:
1 Ta 0.000 0.000 0.000
2 Ta 0.159 0.841 0.500
3 Ta 0.323 0.677 0.000
4 Ta 0.677 0.323 0.000
5 Ta 0.841 0.159 0.500
6 Cl 0.500 0.500 0.500